The following is a DFT calculation (PBE-GGA) of an optimized crystal structure of Y2GaHg.

**Spin magnetization**: 0.00 μB per formula unit
**Energy relative to the elements**: 0.2824 eV/atom
**Crystal system**: orthorhombic
**Total DFT energy (no corrections)**: -3.782 eV/atom

Unit cell a=7.0023 b=7.0023 c=7.0023 alpha=152.91 beta=129.98 gamma=57.81
With the nearest neighbours (Å) after each atom.
Positions (direct):
Y (0.2477, 0.2477, 0.0000)  1 Ga 3.04, 1 Hg 3.09, 6 Y 3.28-3.38
Y (0.7523, 0.7523, 0.0000)  1 Ga 3.04, 1 Hg 3.09, 6 Y 3.28-3.38
Ga (0.0000, 0.0000, 0.0000)  2 Y 3.04, 2 Ga 3.28, 4 Hg 3.38
Hg (0.5000, 0.5000, 0.0000)  2 Y 3.09, 2 Hg 3.28, 4 Ga 3.38